This record from the Alexandria database describes a geometry-optimized NpMnRh4 structure. The functional is PBE.

Values from the calculation:
For the volume, the calculation gives 93.7 Å³/cell. The value obtained for the final energy is -8.7748 eV per atom. For the formation enthalpy at 0 K, the calculation gives -4.4 kcal/mol of atoms.

Unit cell a=4.9778 b=4.9778 c=5.7760 alpha=108.41 beta=108.41 gamma=44.13
Fractional coordinates of all 6 atoms:
Np: 0.0000 0.0000 0.0000
Mn: 0.0000 0.0000 0.5000
Rh: 0.3385 0.3385 0.1829
Rh: 0.3380 0.3380 0.6665
Rh: 0.6620 0.6620 0.3335
Rh: 0.6615 0.6615 0.8171

***

This record from the Alexandria database describes a geometry-optimized NpMn2Ru structure. The functional is PBE.

Values from the calculation:
For the volume, the calculation gives 56.7 Å³/cell. The value obtained for the final energy is -9.7975 eV per atom. For the formation enthalpy at 0 K, the calculation gives 7.9 kcal/mol of atoms.

Unit cell a=9.3195 b=9.3195 c=9.3195 alpha=16.47 beta=16.47 gamma=16.47
Fractional coordinates of all 4 atoms:
Np: 0.0000 0.0000 0.0000
Mn: 0.2422 0.2422 0.2422
Mn: 0.7578 0.7578 0.7578
Ru: 0.5000 0.5000 0.5000

***

This record from the Alexandria database describes a geometry-optimized NpMnRu5 structure. The functional is PBE.

Values from the calculation:
For the volume, the calculation gives 109.0 Å³/cell. The value obtained for the final energy is -9.5421 eV per atom. For the formation enthalpy at 0 K, the calculation gives 5.6 kcal/mol of atoms.

Unit cell a=4.1607 b=4.1607 c=6.2974 alpha=90.00 beta=90.00 gamma=90.00
Fractional coordinates of all 7 atoms:
Np: 0.0000 0.0000 0.0000
Mn: 0.5000 0.5000 0.5000
Ru: 0.0000 0.5000 0.2860
Ru: 0.0000 0.5000 0.7140
Ru: 0.5000 0.0000 0.2860
Ru: 0.5000 0.0000 0.7140
Ru: 0.5000 0.5000 0.0000

***

This record from the Alexandria database describes a geometry-optimized NpMnRu structure. The functional is PBE.

Values from the calculation:
For the volume, the calculation gives 95.7 Å³/cell. The value obtained for the final energy is -10.0738 eV per atom. For the formation enthalpy at 0 K, the calculation gives 9.0 kcal/mol of atoms.

Unit cell a=2.8544 b=4.8299 c=6.9429 alpha=90.00 beta=90.00 gamma=90.00
Fractional coordinates of all 6 atoms:
Np: 0.2500 0.2500 0.1422
Np: 0.7500 0.7500 0.8578
Mn: 0.2500 0.7500 0.1894
Mn: 0.7500 0.2500 0.8106
Ru: 0.2500 0.2500 0.4836
Ru: 0.7500 0.7500 0.5164

***

Q: Which formula does entry 1 have?
A: NpMnRh4